Version i
This record from Alexandria via LeMat-Bulk describes a relaxed structure of Pr3CoBr. The functional is PBE. Values from VASP.

Symmetry: Pmmn
D(E_F) (states/eV per cell): 9.014

```
&SYSTEM
  ibrav = 0, nat = 10, ntyp = 3
/
ATOMIC_SPECIES
Pr 140.91 Pr.upf
Co 58.93 Co.upf
Br 79.90 Br.upf
CELL_PARAMETERS angstrom
3.811 0.000 0.000
0.000 9.768 0.000
0.000 0.000 8.282
ATOMIC_POSITIONS crystal
Pr 0.250 0.077 0.165
Pr 0.250 0.250 0.762
Pr 0.250 0.423 0.165
Pr 0.750 0.577 0.835
Pr 0.750 0.750 0.238
Pr 0.750 0.923 0.835
Co 0.250 0.750 0.008
Co 0.750 0.250 0.992
Br 0.250 0.750 0.559
Br 0.750 0.250 0.441
```

Version ii
This record from Alexandria via LeMat-Bulk describes a relaxed structure of Pr3CoBr. The functional is PBE. Values from VASP.

Symmetry: P2_1/m
D(E_F) (states/eV per cell): 11.565

```
&SYSTEM
  ibrav = 0, nat = 10, ntyp = 3
/
ATOMIC_SPECIES
Pr 140.91 Pr.upf
Co 58.93 Co.upf
Br 79.90 Br.upf
CELL_PARAMETERS angstrom
9.090 0.000 0.000
0.000 3.783 0.000
-3.618 0.000 8.386
ATOMIC_POSITIONS crystal
Pr 0.048 0.250 0.246
Pr 0.299 0.750 0.628
Pr 0.316 0.250 0.988
Pr 0.684 0.750 0.012
Pr 0.701 0.250 0.372
Pr 0.952 0.750 0.754
Co 0.059 0.250 0.588
Co 0.941 0.750 0.412
Br 0.370 0.750 0.305
Br 0.630 0.250 0.695
```

So which one wins? Going from most stable to least: version ii, version i.

Version i
This record from Alexandria via LeMat-Bulk describes a relaxed structure of CoPtBr2. The functional is PBE. Values from VASP.

Symmetry: Cmm2
D(E_F) (states/eV per cell): 6.953

```
&SYSTEM
  ibrav = 0, nat = 8, ntyp = 3
/
ATOMIC_SPECIES
Co 58.93 Co.upf
Pt 195.08 Pt.upf
Br 79.90 Br.upf
CELL_PARAMETERS angstrom
3.767 0.000 0.000
0.000 6.697 0.000
0.000 0.000 8.155
ATOMIC_POSITIONS crystal
Co 0.000 0.000 0.000
Co 0.500 0.500 0.000
Pt 0.000 0.500 0.826
Pt 0.500 0.000 0.826
Br 0.000 0.000 0.616
Br 0.000 0.500 0.187
Br 0.500 0.000 0.187
Br 0.500 0.500 0.616
```

Version ii
This record from Alexandria via LeMat-Bulk describes a relaxed structure of CoPtBr2. The functional is PBE. Values from VASP.

Symmetry: P4/mmm
D(E_F) (states/eV per cell): 4.974

```
&SYSTEM
  ibrav = 0, nat = 4, ntyp = 3
/
ATOMIC_SPECIES
Co 58.93 Co.upf
Pt 195.08 Pt.upf
Br 79.90 Br.upf
CELL_PARAMETERS angstrom
3.181 0.000 0.000
0.000 3.181 0.000
0.000 0.000 7.310
ATOMIC_POSITIONS crystal
Co 0.000 0.000 0.000
Pt 0.000 0.000 0.500
Br 0.500 0.500 0.221
Br 0.500 0.500 0.779
```

Version iii
This record from Alexandria via LeMat-Bulk describes a relaxed structure of CoPtBr2. The functional is PBE. Values from VASP.

Symmetry: Pmmm
D(E_F) (states/eV per cell): 4.425

```
&SYSTEM
  ibrav = 0, nat = 4, ntyp = 3
/
ATOMIC_SPECIES
Co 58.93 Co.upf
Pt 195.08 Pt.upf
Br 79.90 Br.upf
CELL_PARAMETERS angstrom
3.340 0.000 0.000
0.000 3.968 0.000
0.000 0.000 6.568
ATOMIC_POSITIONS crystal
Co 0.000 0.000 0.000
Pt 0.500 0.000 0.500
Br 0.000 0.500 0.500
Br 0.500 0.500 0.000
```

Version iv
This record from Alexandria via LeMat-Bulk describes a relaxed structure of CoPtBr2. The functional is PBE. Values from VASP.

Symmetry: C2/m
D(E_F) (states/eV per cell): 8.321

```
&SYSTEM
  ibrav = 0, nat = 8, ntyp = 3
/
ATOMIC_SPECIES
Co 58.93 Co.upf
Pt 195.08 Pt.upf
Br 79.90 Br.upf
CELL_PARAMETERS angstrom
6.796 0.000 0.000
0.000 7.331 0.000
-3.373 0.000 3.627
ATOMIC_POSITIONS crystal
Co 0.000 0.000 0.000
Co 0.500 0.500 0.000
Pt 0.000 0.500 0.000
Pt 0.500 0.000 0.000
Br 0.250 0.250 0.500
Br 0.250 0.750 0.500
Br 0.750 0.250 0.500
Br 0.750 0.750 0.500
```

So which one wins? Going from most stable to least: version i, version iv, version iii, version ii.

Version i
This record from Alexandria via LeMat-Bulk describes a relaxed structure of CoPtBr2. The functional is PBE. Values from VASP.

Symmetry: Cm
D(E_F) (states/eV per cell): 7.330

```
&SYSTEM
  ibrav = 0, nat = 8, ntyp = 3
/
ATOMIC_SPECIES
Co 58.93 Co.upf
Pt 195.08 Pt.upf
Br 79.90 Br.upf
CELL_PARAMETERS angstrom
6.546 0.000 0.000
0.000 3.657 0.000
-0.867 0.000 8.015
ATOMIC_POSITIONS crystal
Co 0.000 0.000 0.000
Co 0.500 0.500 0.000
Pt 0.346 0.000 0.155
Pt 0.846 0.500 0.155
Br 0.021 0.500 0.810
Br 0.261 0.500 0.361
Br 0.521 0.000 0.810
Br 0.761 0.000 0.361
```

Version ii
This record from Alexandria via LeMat-Bulk describes a relaxed structure of CoPtBr2. The functional is PBE. Values from VASP.

Symmetry: P4/mmm
D(E_F) (states/eV per cell): 7.023

```
&SYSTEM
  ibrav = 0, nat = 4, ntyp = 3
/
ATOMIC_SPECIES
Co 58.93 Co.upf
Pt 195.08 Pt.upf
Br 79.90 Br.upf
CELL_PARAMETERS angstrom
4.698 0.000 0.000
0.000 4.698 0.000
0.000 0.000 3.360
ATOMIC_POSITIONS crystal
Co 0.000 0.000 0.000
Pt 0.500 0.500 0.000
Br 0.000 0.500 0.500
Br 0.500 0.000 0.500
```

So which one wins? Going from most stable to least: version i, version ii.